Entry 1:
# Pm2SbTe (PBE-GGA, optimized geometry)
# Electronic total energy = -5.5284 eV/atom
# M_tot = 0.005 μB/cell
data_Pm2SbTe
_cell_length_a 4.473
_cell_length_b 4.473
_cell_length_c 6.324
_cell_angle_alpha 90.00
_cell_angle_beta 90.00
_cell_angle_gamma 90.00
_symmetry_space_group_name_H-M 'P 4/m m m'
_symmetry_Int_Tables_number 123
_symmetry_space_group_name_Hall '-P 4 2'
loop_
_atom_site_label
_atom_site_type_symbol
_atom_site_fract_x
_atom_site_fract_y
_atom_site_fract_z
_atom_site_occupancy
Pm1 Pm 0.000 0.000 0.000 1
Pm2 Pm 0.500 0.500 0.500 1
Sb1 Sb 0.000 0.000 0.500 1
Te1 Te 0.500 0.500 0.000 1



Entry 2:
# Pr2InGaNi4 (PBE-GGA, optimized geometry)
# Electronic total energy = -5.1366 eV/atom
# M_tot = 0.005 μB/cell
data_Pr2InGaNi4
_cell_length_a 4.059
_cell_length_b 5.203
_cell_length_c 6.992
_cell_angle_alpha 90.00
_cell_angle_beta 90.00
_cell_angle_gamma 90.00
_symmetry_space_group_name_H-M 'P m m 2'
_symmetry_Int_Tables_number 25
loop_
_symmetry_equiv_pos_as_xyz
'x,y,z'
'-x,-y,z'
'-x,y,z'
'x,-y,z'
loop_
_atom_site_label
_atom_site_type_symbol
_atom_site_fract_x
_atom_site_fract_y
_atom_site_fract_z
_atom_site_occupancy
Pr1 Pr 0.000 0.000 0.000 1
Pr2 Pr 0.000 0.500 0.427 1
In1 In 0.500 0.000 0.374 1
Ga1 Ga 0.500 0.500 0.037 1
Ni1 Ni 0.000 0.000 0.610 1
Ni2 Ni 0.000 0.500 0.837 1
Ni3 Ni 0.500 0.252 0.720 1



Entry 3:
# K2Hg3Ge2S8 (PBE-GGA, optimized geometry)
# Electronic total energy = -3.5575 eV/atom
data_K2Hg3Ge2S8
_cell_length_a 19.520
_cell_length_b 9.762
_cell_length_c 8.575
_cell_angle_alpha 90.00
_cell_angle_beta 90.00
_cell_angle_gamma 90.00
_symmetry_space_group_name_H-M 'A e a 2'
_symmetry_Int_Tables_number 41
loop_
_symmetry_equiv_pos_as_xyz
'x,y,z'
'-x,-y,z'
'-x+1/2,y+1/2,z'
'x+1/2,-y+1/2,z'
'x,y+1/2,z+1/2'
'-x,-y+1/2,z+1/2'
'-x+1/2,y,z+1/2'
'x+1/2,-y,z+1/2'
loop_
_atom_site_label
_atom_site_type_symbol
_atom_site_fract_x
_atom_site_fract_y
_atom_site_fract_z
_atom_site_occupancy
K1 K 0.114 0.200 0.000 1
Hg1 Hg 0.000 0.000 0.365 1
Hg2 Hg 0.245 0.456 0.201 1
Ge1 Ge 0.136 0.211 0.512 1
S1 S 0.040 0.231 0.364 1
S2 S 0.125 0.019 0.655 1
S3 S 0.132 0.401 0.661 1
S4 S 0.230 0.209 0.370 1



Entry 4:
# Cu2ReP2 (PBE-GGA, optimized geometry)
# Electronic total energy = -5.9844 eV/atom
# M_tot = 0.004 μB/cell
data_Cu2ReP2
_cell_length_a 3.8217
_cell_length_b 3.8217
_cell_length_c 5.4788
_cell_angle_alpha 90.00
_cell_angle_beta 90.00
_cell_angle_gamma 120.00
_symmetry_space_group_name_H-M 'P -3 m 1'
_symmetry_Int_Tables_number 164
_symmetry_space_group_name_Hall '-P 3 2"'
loop_
_atom_site_label
_atom_site_type_symbol
_atom_site_fract_x
_atom_site_fract_y
_atom_site_fract_z
_atom_site_occupancy
Cu1 Cu 0.3333 0.6667 0.1444 1
Re1 Re 0.0000 0.0000 0.5000 1
P1 P 0.3333 0.6667 0.7111 1



Entry 5:
# NaAgTe2PbS (PBE-GGA, optimized geometry)
# Electronic total energy = -3.3714 eV/atom
data_NaAgTe2PbS
_cell_length_a 4.332
_cell_length_b 13.585
_cell_length_c 11.672
_cell_angle_alpha 90.00
_cell_angle_beta 90.00
_cell_angle_gamma 90.00
_symmetry_space_group_name_H-M 'C m c m'
_symmetry_Int_Tables_number 63
_symmetry_space_group_name_Hall '-C 2c 2'
loop_
_atom_site_label
_atom_site_type_symbol
_atom_site_fract_x
_atom_site_fract_y
_atom_site_fract_z
_atom_site_occupancy
Na1 Na 0.000 0.175 0.250 1
Ag1 Ag 0.000 0.072 0.750 1
Te1 Te 0.000 0.167 0.531 1
Pb1 Pb 0.000 0.500 0.000 1
S1 S 0.000 0.465 0.750 1



Entry 6:
# KRbCuBi (PBE-GGA, optimized geometry)
# Electronic total energy = -2.6746 eV/atom
data_KRbCuBi
_cell_length_a 6.703
_cell_length_b 11.057
_cell_length_c 7.966
_cell_angle_alpha 90.00
_cell_angle_beta 90.00
_cell_angle_gamma 90.00
_symmetry_space_group_name_H-M 'A m m 2'
_symmetry_Int_Tables_number 38
loop_
_symmetry_equiv_pos_as_xyz
'x,y,z'
'-x,-y,z'
'-x,y,z'
'x,-y,z'
'x,y+1/2,z+1/2'
'-x,-y+1/2,z+1/2'
'-x,y+1/2,z+1/2'
'x,-y+1/2,z+1/2'
loop_
_atom_site_label
_atom_site_type_symbol
_atom_site_fract_x
_atom_site_fract_y
_atom_site_fract_z
_atom_site_occupancy
K1 K 0.000 0.165 0.000 1
Rb1 Rb 0.500 0.166 0.651 1
Cu1 Cu 0.244 0.000 0.321 1
Bi1 Bi 0.000 0.000 0.576 1
Bi2 Bi 0.500 0.000 0.074 1



Entry 7:
# Co3SiW2 (PBE-GGA, optimized geometry)
# Electronic total energy = -9.0639 eV/atom
# M_tot = 0.527 μB/cell
data_Co3SiW2
_cell_length_a 4.7494
_cell_length_b 4.7494
_cell_length_c 7.4030
_cell_angle_alpha 90.00
_cell_angle_beta 90.00
_cell_angle_gamma 120.00
_symmetry_space_group_name_H-M 'P 63/m m c'
_symmetry_Int_Tables_number 194
_symmetry_space_group_name_Hall '-P 6c 2c'
loop_
_atom_site_label
_atom_site_type_symbol
_atom_site_fract_x
_atom_site_fract_y
_atom_site_fract_z
_atom_site_occupancy
Co1 Co 0.1706 0.3413 0.2500 1
Si1 Si 0.0000 0.0000 0.0000 1
W1 W 0.3333 0.6667 0.5633 1



Entry 8:
# CoPbWAu (PBE-GGA, optimized geometry)
# Electronic total energy = -5.9176 eV/atom
# M_tot = 5.871 μB/cell
data_CoPbWAu
_cell_length_a 6.493
_cell_length_b 6.493
_cell_length_c 6.493
_cell_angle_alpha 90.00
_cell_angle_beta 90.00
_cell_angle_gamma 90.00
_symmetry_space_group_name_H-M 'F -4 3 m'
_symmetry_Int_Tables_number 216
_symmetry_space_group_name_Hall 'F -4 2 3'
loop_
_atom_site_label
_atom_site_type_symbol
_atom_site_fract_x
_atom_site_fract_y
_atom_site_fract_z
_atom_site_occupancy
Co1 Co 0.000 0.000 0.000 1
Pb1 Pb 0.250 0.250 0.750 1
W1 W 0.000 0.000 0.500 1
Au1 Au 0.250 0.250 0.250 1



Entry 9:
# HfFeAgPb (PBE-GGA, optimized geometry)
# Electronic total energy = -5.9443 eV/atom
# M_tot = 6.254 μB/cell
data_HfFeAgPb
_cell_length_a 6.685
_cell_length_b 6.685
_cell_length_c 6.685
_cell_angle_alpha 90.00
_cell_angle_beta 90.00
_cell_angle_gamma 90.00
_symmetry_space_group_name_H-M 'F -4 3 m'
_symmetry_Int_Tables_number 216
_symmetry_space_group_name_Hall 'F -4 2 3'
loop_
_atom_site_label
_atom_site_type_symbol
_atom_site_fract_x
_atom_site_fract_y
_atom_site_fract_z
_atom_site_occupancy
Hf1 Hf 0.000 0.000 0.000 1
Fe1 Fe 0.250 0.250 0.750 1
Ag1 Ag 0.250 0.250 0.250 1
Pb1 Pb 0.000 0.000 0.500 1



Entry 10:
# Tm3Hf3Sb2Ir (PBE-GGA, optimized geometry)
# Electronic total energy = -7.4159 eV/atom
# M_tot = 0.686 μB/cell
data_Tm3Hf3Sb2Ir
_cell_length_a 7.9026
_cell_length_b 7.9026
_cell_length_c 3.9523
_cell_angle_alpha 90.00
_cell_angle_beta 90.00
_cell_angle_gamma 120.00
_symmetry_space_group_name_H-M 'P -6 2 m'
_symmetry_Int_Tables_number 189
_symmetry_space_group_name_Hall 'P -6 -2'
loop_
_atom_site_label
_atom_site_type_symbol
_atom_site_fract_x
_atom_site_fract_y
_atom_site_fract_z
_atom_site_occupancy
Tm1 Tm 0.0000 0.3973 0.0000 1
Hf1 Hf 0.0000 0.7651 0.5000 1
Sb1 Sb 0.3333 0.6667 0.5000 1
Ir1 Ir 0.0000 0.0000 0.0000 1



Entry 11:
# TcHg2Sb (PBE-GGA, optimized geometry)
# Electronic total energy = -3.0882 eV/atom
# M_tot = 6.450 μB/cell
data_TcHg2Sb
_cell_length_a 6.957
_cell_length_b 6.957
_cell_length_c 6.957
_cell_angle_alpha 90.00
_cell_angle_beta 90.00
_cell_angle_gamma 90.00
_symmetry_space_group_name_H-M 'F -4 3 m'
_symmetry_Int_Tables_number 216
_symmetry_space_group_name_Hall 'F -4 2 3'
loop_
_atom_site_label
_atom_site_type_symbol
_atom_site_fract_x
_atom_site_fract_y
_atom_site_fract_z
_atom_site_occupancy
Tc1 Tc 0.000 0.000 0.000 1
Hg1 Hg 0.000 0.000 0.500 1
Hg2 Hg 0.250 0.250 0.250 1
Sb1 Sb 0.250 0.250 0.750 1



Entry 12:
# PrTmRe (PBE-GGA, optimized geometry)
# Electronic total energy = -6.1196 eV/atom
# M_tot = 0.025 μB/cell
# Energy of formation = 1.105 eV per atom
data_PrTmRe
_cell_length_a 6.810
_cell_length_b 6.810
_cell_length_c 6.810
_cell_angle_alpha 90.00
_cell_angle_beta 90.00
_cell_angle_gamma 90.00
_symmetry_space_group_name_H-M 'F -4 3 m'
_symmetry_Int_Tables_number 216
_symmetry_space_group_name_Hall 'F -4 2 3'
loop_
_atom_site_label
_atom_site_type_symbol
_atom_site_fract_x
_atom_site_fract_y
_atom_site_fract_z
_atom_site_occupancy
Pr1 Pr 0.000 0.000 0.000 1
Tm1 Tm 0.250 0.250 0.250 1
Re1 Re 0.000 0.000 0.500 1



> Which of these has the lowest electronic total energy?

Co3SiW2



Repeat the fourth record exactly.
# Cu2ReP2 (PBE-GGA, optimized geometry)
# Electronic total energy = -5.9844 eV/atom
# M_tot = 0.004 μB/cell
data_Cu2ReP2
_cell_length_a 3.8217
_cell_length_b 3.8217
_cell_length_c 5.4788
_cell_angle_alpha 90.00
_cell_angle_beta 90.00
_cell_angle_gamma 120.00
_symmetry_space_group_name_H-M 'P -3 m 1'
_symmetry_Int_Tables_number 164
_symmetry_space_group_name_Hall '-P 3 2"'
loop_
_atom_site_label
_atom_site_type_symbol
_atom_site_fract_x
_atom_site_fract_y
_atom_site_fract_z
_atom_site_occupancy
Cu1 Cu 0.3333 0.6667 0.1444 1
Re1 Re 0.0000 0.0000 0.5000 1
P1 P 0.3333 0.6667 0.7111 1



> The highest electronic total energy belongs to which entry?

KRbCuBi